No. 1
Tl3TcS | PBE | optimized geometry Values from VASP.

Output
**Calculated volume**: 30.41 Å³ per atom
**Calculated total energy**: -18.42 eV/cell
**Total magnetization**: 0.40 μB per atom
**ΔE_f (raw)**: 635.2 meV per atom
**Density of states at the Fermi level**: 1.32 states/eV per atom
**Energy above the lowest structure with this stoichiometry**: 0.000 eV/atom

The structure in Quantum ESPRESSO input format:
```
&SYSTEM
  ibrav = 0, nat = 5, ntyp = 3
/
ATOMIC_SPECIES
Tl 204.38 Tl.upf
Tc 98.00 Tc.upf
S 32.06 S.upf
ATOMIC_POSITIONS crystal
Tl 0.000 0.000 0.500
Tl 0.000 0.500 0.000
Tl 0.500 0.000 0.000
Tc 0.000 0.000 0.000
S 0.500 0.500 0.500
CELL_PARAMETERS angstrom
5.337 0.000 0.000
0.000 5.337 0.000
0.000 0.000 5.337
```



No. 2
NaAsPdPb | PBE | optimized geometry Values from VASP.

Output
**Calculated volume**: 20.45 Å³ per atom
**Calculated total energy**: -15.55 eV/cell
**Total magnetization**: 0.00 μB per atom
**Density of states at the Fermi level**: 0.57 states/eV per atom
**Energy above the lowest structure with this stoichiometry**: 0.165 eV/atom

The structure in Quantum ESPRESSO input format:
```
&SYSTEM
  ibrav = 0, nat = 4, ntyp = 4
/
ATOMIC_SPECIES
Na 22.99 Na.upf
As 74.92 As.upf
Pd 106.42 Pd.upf
Pb 207.20 Pb.upf
ATOMIC_POSITIONS crystal
Na 0.000 0.000 0.000
As 0.750 0.750 0.750
Pd 0.500 0.500 0.500
Pb 0.250 0.250 0.250
CELL_PARAMETERS angstrom
0.000 3.446 3.446
3.446 0.000 3.446
3.446 3.446 0.000
```



No. 3
Cs2Ag2Pt | PBE | optimized geometry Values from VASP.

Output
**Calculated volume**: 30.74 Å³ per atom
**Calculated total energy**: -25.39 eV/cell
**Total magnetization**: 0.00 μB per atom
**Density of states at the Fermi level**: 0.29 states/eV per atom
**Energy above the lowest structure with this stoichiometry**: 0.176 eV/atom

The structure in Quantum ESPRESSO input format:
```
&SYSTEM
  ibrav = 0, nat = 10, ntyp = 3
/
ATOMIC_SPECIES
Cs 132.91 Cs.upf
Ag 107.87 Ag.upf
Pt 195.08 Pt.upf
ATOMIC_POSITIONS crystal
Cs 0.183 0.317 0.000
Cs 0.317 0.817 0.000
Cs 0.683 0.183 0.000
Cs 0.817 0.683 0.000
Ag 0.142 0.642 0.500
Ag 0.358 0.142 0.500
Ag 0.642 0.858 0.500
Ag 0.858 0.358 0.500
Pt 0.000 0.000 0.500
Pt 0.500 0.500 0.500
CELL_PARAMETERS angstrom
7.323 0.000 0.000
0.000 7.323 0.000
0.000 0.000 5.733
```